SCAN Sc2MoBr, single point on PBEsol structure; relative energy among the computed polymorphs = 0.413 eV/atom; space group = Pmm2; formation energy (no corrections) = 0.0078 eV/atom
1.0
3.123 0.000 0.000
0.000 4.618 0.000
0.000 0.000 5.516
Br Mo Sc
1 1 2
Direct
0.000 0.000 0.424 Br
0.500 0.500 0.842 Mo
0.500 0.500 0.306 Sc
0.000 0.000 0.927 Sc

SCAN MgSc2FeS, single point on PBEsol structure; space group = P4/mmm; formation energy (no corrections) = -0.0480 eV/atom
1.0
4.109 0.000 0.000
0.000 4.869 0.000
0.000 0.000 4.869
Fe Mg Sc S
1 1 2 1
Direct
0.000 0.000 0.000 Fe
0.500 0.500 0.500 Mg
0.000 0.000 0.500 Sc
0.000 0.500 0.000 Sc
0.500 0.000 0.000 S

SCAN YIn3Tc, single point on PBEsol structure; energy of formation from the pure elements = 0.092 eV per atom; space group = Pm-3m
1.0
5.052 0.000 0.000
0.000 5.052 0.000
0.000 0.000 5.052
In Y Tc
3 1 1
Direct
0.500 0.000 0.000 In
0.000 0.000 0.500 In
0.000 0.500 0.000 In
0.500 0.500 0.500 Y
0.000 0.000 0.000 Tc

SCAN Lu2SeO2, single point on PBEsol structure; space group = P-3m1; formation energy (no corrections) = -3.4781 eV/atom
1.0
-1.145 -1.249 3.282
2.662 -1.790 -1.831
4.564 3.713 3.006
O Lu Se
2 2 1
Direct
0.333 0.667 0.374 O
0.667 0.333 0.626 O
0.333 0.667 0.708 Lu
0.667 0.333 0.292 Lu
0.000 0.000 0.000 Se

SCAN Li2ZrAl, single point on PBEsol structure; energy of formation from the pure elements = 0.087 eV per atom; space group = Imm2
1.0
2.893 0.000 0.000
0.000 4.853 0.000
-1.446 -2.427 4.914
Li Zr Al
2 1 1
Direct
0.273 0.773 0.546 Li
0.009 0.009 0.018 Li
0.490 0.490 0.980 Zr
0.728 0.228 0.456 Al

SCAN Li2TaW, single point on PBEsol structure; relative energy among the computed polymorphs = 0.664 eV/atom; energy of formation from the pure elements = 0.917 eV per atom; space group = Fm-3m
1.0
4.258 0.000 0.000
2.129 3.688 0.000
2.129 1.229 3.477
W Li Ta
1 2 1
Direct
0.500 0.500 0.500 W
0.250 0.250 0.250 Li
0.750 0.750 0.750 Li
0.000 0.000 0.000 Ta

SCAN Tl3Re2, single point on PBEsol structure; energy of formation from the pure elements = 0.946 eV per atom; space group = P-3m1
1.0
4.739 0.000 0.000
-2.370 4.104 0.000
0.000 0.000 5.576
Tl Re
3 2
Direct
0.667 0.333 0.080 Tl
0.000 0.000 0.500 Tl
0.333 0.667 0.920 Tl
0.667 0.333 0.567 Re
0.333 0.667 0.433 Re

SCAN CoNi2Rh, single point on PBEsol structure; relative energy among the computed polymorphs = 0.044 eV/atom; energy of formation from the pure elements = 0.030 eV per atom; space group = Pmm2
1.0
2.547 0.000 0.000
0.000 3.513 0.000
0.000 0.000 5.055
Rh Ni Co
1 2 1
Direct
0.000 0.000 0.502 Rh
0.500 0.500 0.238 Ni
0.000 0.000 0.000 Ni
0.500 0.500 0.761 Co

SCAN SrCrTcAs2, single point on PBEsol structure; energy of formation from the pure elements = 1.911 eV per atom; space group = P4/mmm
1.0
-0.579 3.192 3.758
-4.201 -2.915 1.829
3.382 -2.966 3.041
Tc Sr As Cr
1 1 2 1
Direct
0.500 0.000 0.000 Tc
0.000 0.000 0.000 Sr
0.000 0.500 0.000 As
0.000 0.000 0.500 As
0.500 0.500 0.500 Cr

SCAN Sr2InTc, single point on PBEsol structure; energy of formation from the pure elements = 0.473 eV per atom; space group = P4/mmm
1.0
-3.732 0.184 -2.864
0.062 -4.683 -0.381
-2.864 -0.340 3.710
Sr In Tc
2 1 1
Direct
0.000 0.500 0.000 Sr
0.000 0.000 0.500 Sr
0.500 0.000 0.000 In
0.500 0.500 0.500 Tc

SCAN MgGeOF2, single point on PBEsol structure; relative energy among the computed polymorphs = 0.000 eV/atom; space group = P4/mmm; formation energy (no corrections) = -2.2199 eV/atom
1.0
-2.526 2.739 -0.244
-2.689 -2.392 0.994
0.638 0.945 4.002
F Mg Ge O
2 1 1 1
Direct
0.500 0.000 0.000 F
0.000 0.500 0.000 F
0.000 0.000 0.000 Mg
0.500 0.500 0.500 Ge
0.000 0.000 0.500 O

SCAN AlPbCl2, single point on PBEsol structure; relative energy among the computed polymorphs = 0.000 eV/atom; space group = Cmmm; formation energy (no corrections) = -0.5069 eV/atom
1.0
3.387 -0.017 0.000
-1.657 2.955 0.000
0.000 0.000 9.052
Al Cl Pb
1 2 1
Direct
0.500 0.500 0.000 Al
0.000 0.000 0.778 Cl
0.000 0.000 0.222 Cl
0.500 0.500 0.500 Pb

SCAN Li2Mn3ZnO8, single point on PBEsol structure; space group = P2_13; formation energy (no corrections) = -2.1989 eV/atom
1.0
8.135 0.000 0.000
0.000 8.135 0.000
0.000 0.000 8.135
Mn Li O Zn
12 8 32 4
Direct
0.375 0.377 0.621 Mn
0.875 0.123 0.379 Mn
0.377 0.621 0.375 Mn
0.121 0.125 0.623 Mn
0.379 0.875 0.123 Mn
0.623 0.121 0.125 Mn
0.877 0.879 0.625 Mn
0.125 0.623 0.121 Mn
0.123 0.379 0.875 Mn
0.625 0.877 0.879 Mn
0.879 0.625 0.877 Mn
0.621 0.375 0.377 Mn
0.254 0.754 0.746 Li
0.875 0.375 0.125 Li
0.746 0.254 0.754 Li
0.754 0.746 0.254 Li
0.375 0.125 0.875 Li
0.246 0.246 0.246 Li
0.125 0.875 0.375 Li
0.625 0.625 0.625 Li
0.865 0.865 0.865 O
0.858 0.122 0.150 O
0.150 0.858 0.122 O
0.629 0.106 0.901 O
0.599 0.371 0.606 O
0.350 0.142 0.622 O
0.901 0.629 0.106 O
0.642 0.878 0.650 O
0.878 0.650 0.642 O
0.385 0.385 0.385 O
0.871 0.894 0.401 O
0.885 0.115 0.615 O
0.371 0.606 0.599 O
0.099 0.129 0.394 O
0.115 0.615 0.885 O
0.378 0.850 0.358 O
0.635 0.135 0.365 O
0.850 0.358 0.378 O
0.606 0.599 0.371 O
0.135 0.365 0.635 O
0.358 0.378 0.850 O
0.365 0.635 0.135 O
0.622 0.350 0.142 O
0.894 0.401 0.871 O
0.142 0.622 0.350 O
0.650 0.642 0.878 O
0.401 0.871 0.894 O
0.129 0.394 0.099 O
0.106 0.901 0.629 O
0.615 0.885 0.115 O
0.122 0.150 0.858 O
0.394 0.099 0.129 O
0.504 0.496 0.996 Zn
0.004 0.004 0.004 Zn
0.996 0.504 0.496 Zn
0.496 0.996 0.504 Zn

SCAN CsNb3W, single point on PBEsol structure; energy of formation from the pure elements = 1.630 eV per atom; space group = Pm-3m
1.0
-4.444 -2.224 0.671
2.279 -3.896 2.185
-0.448 2.241 4.463
Cs Nb W
1 3 1
Direct
0.500 0.500 0.500 Cs
0.500 0.000 0.000 Nb
0.000 0.500 0.000 Nb
0.000 0.000 0.500 Nb
0.000 0.000 0.000 W

SCAN ScMn2Si, single point on PBEsol structure; space group = P4mm; formation energy (no corrections) = -0.2168 eV/atom
1.0
2.787 0.000 0.000
0.000 2.787 0.000
0.000 0.000 6.728
Mn Si Sc
2 1 1
Direct
0.500 0.500 0.200 Mn
0.000 0.000 0.008 Mn
0.500 0.500 0.802 Si
0.000 0.000 0.491 Sc

SCAN MgTeSe2, single point on PBEsol structure; relative energy among the computed polymorphs = 0.000 eV/atom; space group = Pmmm; formation energy (no corrections) = -0.3907 eV/atom
1.0
-0.406 -2.266 3.065
2.341 -2.602 -1.614
5.780 3.240 3.161
Se Mg Te
2 1 1
Direct
0.000 0.500 0.500 Se
0.000 0.000 0.000 Se
0.500 0.000 0.500 Mg
0.500 0.500 0.000 Te

SCAN K2PW, single point on PBEsol structure; relative energy among the computed polymorphs = 0.297 eV/atom; energy of formation from the pure elements = 1.238 eV per atom; space group = F-43m
1.0
-2.106 -0.723 -4.614
-3.835 -3.348 -0.569
-4.747 1.679 -0.940
P K W
1 2 1
Direct
0.500 0.500 0.500 P
0.000 0.000 0.000 K
0.750 0.750 0.750 K
0.250 0.250 0.250 W

SCAN K2SiCl, single point on PBEsol structure; relative energy among the computed polymorphs = 0.000 eV/atom; space group = Imm2; formation energy (no corrections) = -0.5627 eV/atom
1.0
3.400 0.000 0.000
0.000 3.711 0.000
-1.700 -1.856 9.397
Si K Cl
1 2 1
Direct
0.558 0.558 0.115 Si
0.931 0.931 0.861 K
0.712 0.212 0.423 K
0.300 0.800 0.601 Cl

SCAN Nb2TcSbCl, single point on PBEsol structure; space group = P4/mmm; formation energy (no corrections) = 1.7866 eV/atom
1.0
4.923 0.000 0.000
0.000 5.192 0.000
0.000 0.000 5.192
Nb Sb Tc Cl
2 1 1 1
Direct
0.000 0.000 0.500 Nb
0.000 0.500 0.000 Nb
0.000 0.000 0.000 Sb
0.500 0.500 0.500 Tc
0.500 0.000 0.000 Cl

SCAN KLa2Ag, single point on PBEsol structure; relative energy among the computed polymorphs = 0.265 eV/atom; energy of formation from the pure elements = 0.304 eV per atom; space group = C2/m
1.0
-0.043 1.257 -3.222
5.512 -2.227 -0.554
-5.044 -4.731 -0.116
Ag La K
1 2 1
Direct
0.500 0.000 0.000 Ag
0.500 0.500 0.500 La
0.000 0.000 0.500 La
0.000 0.500 0.000 K

SCAN CdAg2Br, single point on PBEsol structure; space group = Imm2; formation energy (no corrections) = -0.0576 eV/atom
1.0
3.333 0.000 0.000
0.000 4.300 0.000
-1.666 -2.150 6.067
Cd Ag Br
1 2 1
Direct
0.219 0.719 0.438 Cd
0.755 0.255 0.509 Ag
0.064 0.064 0.128 Ag
0.462 0.462 0.925 Br

SCAN CsZrN2O, single point on PBEsol structure; space group = P4/mmm; formation energy (no corrections) = 1.7858 eV/atom
1.0
4.288 0.000 0.000
0.000 4.310 0.000
0.000 0.000 4.310
Zr Cs N O
1 1 2 1
Direct
0.500 0.500 0.500 Zr
0.000 0.000 0.000 Cs
0.000 0.500 0.000 N
0.000 0.000 0.500 N
0.500 0.000 0.000 O

SCAN CdGeO3, single point on PBEsol structure; space group = C2/c; formation energy (no corrections) = -1.6144 eV/atom
1.0
-4.879 -2.295 0.214
1.858 -6.595 -1.588
0.059 -1.994 6.745
O Ge Cd
12 4 4
Direct
0.653 0.786 0.972 O
0.435 0.592 0.701 O
0.565 0.408 0.299 O
0.629 0.142 0.609 O
0.935 0.701 0.592 O
0.871 0.391 0.858 O
0.347 0.214 0.028 O
0.065 0.299 0.408 O
0.847 0.028 0.214 O
0.153 0.972 0.786 O
0.129 0.609 0.142 O
0.371 0.858 0.391 O
0.724 0.615 0.794 Ge
0.776 0.206 0.385 Ge
0.276 0.385 0.206 Ge
0.224 0.794 0.615 Ge
0.250 0.289 0.711 Cd
0.750 0.096 0.904 Cd
0.250 0.904 0.096 Cd
0.750 0.711 0.289 Cd

SCAN LiMnCd, single point on PBEsol structure; energy of formation from the pure elements = -0.066 eV per atom; space group = Imm2
1.0
2.763 0.000 0.000
0.000 4.231 0.000
-1.382 -2.116 4.154
Mn Li Cd
1 1 1
Direct
0.337 0.337 0.674 Mn
0.665 0.665 0.331 Li
0.997 0.997 0.995 Cd

SCAN SrNi2Te, single point on PBEsol structure; relative energy among the computed polymorphs = 0.000 eV/atom; space group = R-3m; formation energy (no corrections) = -0.3787 eV/atom
1.0
4.293 0.000 0.000
2.146 3.718 0.000
2.146 1.239 5.119
Sr Te Ni
1 1 2
Direct
0.500 0.500 0.500 Sr
0.000 0.000 0.000 Te
0.308 0.308 0.075 Ni
0.692 0.692 0.925 Ni

SCAN BaLa3W, single point on PBEsol structure; energy of formation from the pure elements = 1.823 eV per atom; space group = Pm-3m
1.0
5.713 0.000 0.000
0.000 5.713 0.000
0.000 0.000 5.713
La Ba W
3 1 1
Direct
0.500 0.000 0.000 La
0.000 0.500 0.000 La
0.000 0.000 0.500 La
0.000 0.000 0.000 Ba
0.500 0.500 0.500 W

no.,ρ (kg/m³)
1,5548
2,3446
3,6843
4,9805
5,3180
6,11519
7,15090
8,10252
9,4395
10,6198
11,4320
12,5607
13,4591
14,7842
15,5811
16,4743
17,5118
18,1985
19,5517
20,5660
21,7793
22,5591
23,5937
24,5960
25,6760
26,6572